[1]
Tb4YHo5 PBE-GGA relaxed; SG = I4, No. 79; formation enthalpy at 0 K = 29.6 kJ/mol of atoms; electronic total energy = -44.8 eV per cell
1.0
-4.357 3.943 -2.070
-5.966 -3.589 -3.653
-5.683 1.399 5.251
Ho Tb Y
5 4 1
Direct
0.684 0.000 0.000 Ho
0.097 0.620 0.084 Ho
0.181 0.916 0.620 Ho
0.718 0.084 0.380 Ho
0.802 0.380 0.916 Ho
0.499 0.605 0.300 Tb
0.404 0.395 0.700 Tb
0.104 0.300 0.395 Tb
0.799 0.700 0.605 Tb
0.222 0.000 0.000 Y

[2]
CsSc3Cd PBE-GGA relaxed; SG = Pm-3m, No. 221; excess energy over the best structure of this formula in the dataset = 0 meV/atom; formation enthalpy at 0 K = 61.6 kJ/mol of atoms; electronic total energy = -17.6 eV per cell
1.0
5.574 0.000 0.000
0.000 5.574 0.000
0.000 0.000 5.574
Sc Cs Cd
3 1 1
Direct
0.000 0.500 0.000 Sc
0.000 0.000 0.500 Sc
0.500 0.000 0.000 Sc
0.500 0.500 0.500 Cs
0.000 0.000 0.000 Cd

[3]
CaNd2ThAs4 PBE-GGA relaxed; SG = P2/m, No. 10; formation enthalpy at 0 K = -136.5 kJ/mol of atoms; electronic total energy = -48.9 eV per cell
1.0
4.283 0.000 0.000
0.000 7.367 0.135
0.000 -2.569 6.940
As Ca Nd Th
4 1 2 1
Direct
0.000 0.246 0.751 As
0.500 0.753 0.753 As
0.000 0.754 0.249 As
0.500 0.247 0.247 As
0.500 0.500 0.000 Ca
0.000 0.500 0.500 Nd
0.500 0.000 0.500 Nd
0.000 0.000 0.000 Th

[4]
PrNd2Hf PBE-GGA relaxed; SG = P4/mmm, No. 123; excess energy over the best structure of this formula in the dataset = 37 meV/atom; formation enthalpy at 0 K = 22.3 kJ/mol of atoms; electronic total energy = -23.3 eV per cell
1.0
4.070 0.000 0.000
0.000 4.070 0.000
0.000 0.000 7.588
Pr Hf Nd
1 1 2
Direct
0.500 0.500 0.500 Pr
0.500 0.500 0.000 Hf
0.000 0.000 0.785 Nd
0.000 0.000 0.215 Nd

[5]
Dy5MgTl8 PBE-GGA relaxed; SG = I-4, No. 82; formation enthalpy at 0 K = -17.8 kJ/mol of atoms; electronic total energy = -46.1 eV per cell
1.0
7.985 0.073 -0.126
-2.633 7.539 0.126
-2.720 -3.776 6.491
Tl Dy Mg
8 5 1
Direct
0.435 0.585 0.191 Tl
0.606 0.415 0.850 Tl
0.150 0.756 0.565 Tl
0.975 0.102 0.729 Tl
0.127 0.755 0.025 Tl
0.628 0.898 0.873 Tl
0.809 0.244 0.394 Tl
0.271 0.245 0.372 Tl
0.744 0.619 0.596 Dy
0.875 0.852 0.256 Dy
0.500 0.000 0.500 Dy
0.404 0.148 0.023 Dy
0.977 0.381 0.125 Dy
0.250 0.500 0.750 Mg

[6]
Hf4TcRu PBE-GGA relaxed; SG = C2/m, No. 12; excess energy over the best structure of this formula in the dataset = 235 meV/atom; formation enthalpy at 0 K = -15.8 kJ/mol of atoms; electronic total energy = -60.4 eV per cell
1.0
-0.539 4.455 0.342
-1.986 2.289 -3.338
-7.405 1.209 2.193
Hf Ru Tc
4 1 1
Direct
0.875 0.875 0.375 Hf
0.375 0.375 0.875 Hf
0.625 0.625 0.125 Hf
0.125 0.125 0.625 Hf
0.000 0.000 0.000 Ru
0.500 0.500 0.500 Tc

[7]
V3Cr3B8 PBE-GGA relaxed; SG = Pmm2, No. 25; formation enthalpy at 0 K = -64.8 kJ/mol of atoms; electronic total energy = -119.1 eV per cell
1.0
2.956 0.000 0.000
0.000 2.979 0.000
0.000 0.000 13.076
V Cr B
3 3 8
Direct
0.000 0.500 0.499 V
0.000 0.000 0.811 V
0.500 0.000 0.002 V
0.500 0.500 0.688 Cr
0.500 0.500 0.313 Cr
0.000 0.000 0.187 Cr
0.000 0.500 0.935 B
0.000 0.000 0.360 B
0.500 0.000 0.432 B
0.000 0.000 0.637 B
0.000 0.500 0.068 B
0.500 0.500 0.863 B
0.500 0.500 0.141 B
0.500 0.000 0.565 B

[8]
LiNdAs2Rh5 PBE-GGA relaxed; SG = P4/mmm, No. 123; formation enthalpy at 0 K = -47.0 kJ/mol of atoms; electronic total energy = -57.1 eV per cell
1.0
-0.660 0.209 4.111
-2.873 -3.004 -0.308
6.407 -6.267 1.348
Rh Nd As Li
5 1 2 1
Direct
0.500 0.000 0.266 Rh
0.000 0.500 0.734 Rh
0.000 0.500 0.266 Rh
0.500 0.500 0.500 Rh
0.500 0.000 0.734 Rh
0.000 0.000 0.500 Nd
0.500 0.500 0.861 As
0.500 0.500 0.139 As
0.000 0.000 0.000 Li

Please write out number 1 again, unchanged.
Tb4YHo5 PBE-GGA relaxed; SG = I4, No. 79; formation enthalpy at 0 K = 29.6 kJ/mol of atoms; electronic total energy = -44.8 eV per cell
1.0
-4.357 3.943 -2.070
-5.966 -3.589 -3.653
-5.683 1.399 5.251
Ho Tb Y
5 4 1
Direct
0.684 0.000 0.000 Ho
0.097 0.620 0.084 Ho
0.181 0.916 0.620 Ho
0.718 0.084 0.380 Ho
0.802 0.380 0.916 Ho
0.499 0.605 0.300 Tb
0.404 0.395 0.700 Tb
0.104 0.300 0.395 Tb
0.799 0.700 0.605 Tb
0.222 0.000 0.000 Y

Repeat the third record exactly.
CaNd2ThAs4 PBE-GGA relaxed; SG = P2/m, No. 10; formation enthalpy at 0 K = -136.5 kJ/mol of atoms; electronic total energy = -48.9 eV per cell
1.0
4.283 0.000 0.000
0.000 7.367 0.135
0.000 -2.569 6.940
As Ca Nd Th
4 1 2 1
Direct
0.000 0.246 0.751 As
0.500 0.753 0.753 As
0.000 0.754 0.249 As
0.500 0.247 0.247 As
0.500 0.500 0.000 Ca
0.000 0.500 0.500 Nd
0.500 0.000 0.500 Nd
0.000 0.000 0.000 Th

Question: Look up the electronic total energy of the fourth one.
Answer: -23.3 eV per cell

Repeat the third record exactly.
CaNd2ThAs4 PBE-GGA relaxed; SG = P2/m, No. 10; formation enthalpy at 0 K = -136.5 kJ/mol of atoms; electronic total energy = -48.9 eV per cell
1.0
4.283 0.000 0.000
0.000 7.367 0.135
0.000 -2.569 6.940
As Ca Nd Th
4 1 2 1
Direct
0.000 0.246 0.751 As
0.500 0.753 0.753 As
0.000 0.754 0.249 As
0.500 0.247 0.247 As
0.500 0.500 0.000 Ca
0.000 0.500 0.500 Nd
0.500 0.000 0.500 Nd
0.000 0.000 0.000 Th